{
  "formula": "Ti2CoPI",
  "functional": "meta-GGA SCAN",
  "state": "PBEsol geometry",
  "cell": [[-3.250, 2.478, -1.528], [-2.367, -0.459, 4.291], [2.276, 4.025, 1.686]],
  "species": ["I", "P", "Co", "Ti", "Ti"],
  "frac_coords": [[0.000, 0.000, 0.000], [0.500, 0.500, 0.500], [0.500, 0.000, 0.000], [0.000, 0.000, 0.500], [0.000, 0.500, 0.000]],
  "e_tot_ev_per_atom": -18.0728,
  "formation_energy_uncorrected_ev_per_atom": 1.228
}

=====

{
  "formula": "MgRh",
  "functional": "meta-GGA SCAN",
  "state": "PBEsol geometry",
  "cell": [[3.084, 0.000, 0.000], [0.000, 3.084, 0.000], [0.000, 0.000, 3.084]],
  "species": ["Mg", "Rh"],
  "frac_coords": [[0.000, 0.000, 0.000], [0.500, 0.500, 0.500]],
  "e_tot_ev_per_atom": -19.9018
}

=====

{
  "formula": "RbCr3O8",
  "functional": "meta-GGA SCAN",
  "state": "PBEsol geometry",
  "cell": [[5.109, -0.018, 0.001], [2.257, 4.583, 0.001], [0.570, 0.353, 7.905]],
  "species": ["Rb", "Cr", "Cr", "Cr", "O", "O", "O", "O", "O", "O", "O", "O"],
  "frac_coords": [[0.000, 0.000, 0.000], [0.000, 0.000, 0.500], [0.630, 0.630, 0.697], [0.370, 0.370, 0.303], [0.216, 0.216, 0.440], [0.784, 0.784, 0.560], [0.678, 0.678, 0.889], [0.322, 0.322, 0.111], [0.778, 0.271, 0.670], [0.729, 0.222, 0.330], [0.222, 0.729, 0.330], [0.271, 0.778, 0.670]],
  "e_tot_ev_per_atom": -12.6011,
  "formation_energy_uncorrected_ev_per_atom": -2.123
}

=====

{
  "formula": "Sc3Si4Ni4",
  "functional": "meta-GGA SCAN",
  "state": "PBEsol geometry",
  "cell": [[3.318, 0.000, 0.000], [0.000, 3.928, 0.000], [-1.659, -1.964, 11.887]],
  "species": ["Sc", "Sc", "Sc", "Ni", "Ni", "Ni", "Ni", "Si", "Si", "Si", "Si"],
  "frac_coords": [[0.646, 0.146, 0.291], [0.500, 0.500, 0.000], [0.354, 0.854, 0.709], [0.245, 0.245, 0.489], [0.755, 0.755, 0.511], [0.904, 0.404, 0.809], [0.096, 0.596, 0.191], [0.809, 0.309, 0.619], [0.050, 0.050, 0.101], [0.950, 0.950, 0.899], [0.191, 0.691, 0.381]],
  "e_tot_ev_per_atom": -14.2163,
  "formation_energy_uncorrected_ev_per_atom": -0.810
}

=====

{
  "formula": "TiBe2Si",
  "functional": "meta-GGA SCAN",
  "state": "PBEsol geometry",
  "cell": [[-1.967, 2.362, 1.650], [-1.887, 0.454, -2.899], [-3.376, -7.563, 3.114]],
  "species": ["Be", "Be", "Be", "Be", "Si", "Si", "Ti", "Ti"],
  "frac_coords": [[0.377, 0.875, 0.250], [0.873, 0.375, 0.250], [0.125, 0.127, 0.750], [0.625, 0.623, 0.750], [0.750, 0.250, 0.500], [0.500, 0.500, 0.000], [0.250, 0.750, 0.500], [0.000, 0.000, 0.000]],
  "e_tot_ev_per_atom": -8.4260,
  "formation_energy_uncorrected_ev_per_atom": 0.262
}

=====

{
  "formula": "LaMg2Pb2",
  "functional": "meta-GGA SCAN",
  "state": "PBEsol geometry",
  "cell": [[-4.131, 1.876, -0.174], [-0.572, -0.849, 4.424], [4.984, 5.423, -0.645]],
  "species": ["Pb", "Pb", "Mg", "Mg", "La"],
  "frac_coords": [[0.388, 0.388, 0.777], [0.612, 0.612, 0.223], [0.250, 0.750, 0.500], [0.750, 0.250, 0.500], [0.000, 0.000, 0.000]],
  "e_tot_ev_per_atom": -41.4614
}

=====

{
  "formula": "Mg5Be",
  "functional": "meta-GGA SCAN",
  "state": "PBEsol geometry",
  "cell": [[-2.318, 2.051, -0.050], [-0.527, -0.669, -2.976], [-7.939, -8.889, 3.405]],
  "species": ["Be", "Mg", "Mg", "Mg", "Mg", "Mg"],
  "frac_coords": [[0.500, 0.500, 0.500], [0.000, 0.000, 0.626], [0.500, 0.500, 0.814], [0.000, 0.000, 0.000], [0.500, 0.500, 0.186], [0.000, 0.000, 0.374]],
  "e_tot_ev_per_atom": -4.7155
}

=====

{
  "formula": "Na7W8O24",
  "functional": "meta-GGA SCAN",
  "state": "PBEsol geometry",
  "cell": [[7.736, 0.000, 0.000], [-3.868, 7.745, 0.000], [0.000, -3.873, 7.750]],
  "species": ["Na", "Na", "Na", "Na", "Na", "Na", "Na", "W", "W", "W", "W", "W", "W", "W", "W", "O", "O", "O", "O", "O", "O", "O", "O", "O", "O", "O", "O", "O", "O", "O", "O", "O", "O", "O", "O", "O", "O", "O", "O"],
  "frac_coords": [[0.500, 0.000, 0.000], [0.752, 0.504, 0.000], [0.625, 0.250, 0.501], [0.876, 0.751, 0.503], [0.124, 0.249, 0.497], [0.375, 0.750, 0.499], [0.248, 0.496, 0.000], [0.311, 0.125, 0.751], [0.436, 0.373, 0.249], [0.813, 0.125, 0.751], [0.062, 0.627, 0.751], [0.938, 0.373, 0.249], [0.187, 0.875, 0.249], [0.689, 0.875, 0.249], [0.564, 0.627, 0.751], [0.249, 0.000, 0.500], [0.379, 0.252, 0.000], [0.438, 0.375, 0.750], [0.316, 0.126, 0.252], [0.500, 0.500, 0.500], [0.562, 0.125, 0.750], [0.811, 0.622, 0.748], [0.688, 0.375, 0.250], [0.937, 0.874, 0.252], [0.751, 0.000, 0.500], [0.874, 0.252, 0.000], [0.937, 0.375, 0.750], [0.000, 0.500, 0.500], [0.190, 0.874, 0.748], [0.810, 0.126, 0.252], [0.126, 0.748, 0.000], [0.063, 0.625, 0.250], [0.312, 0.625, 0.750], [0.063, 0.126, 0.748], [0.438, 0.875, 0.250], [0.189, 0.378, 0.252], [0.562, 0.625, 0.250], [0.684, 0.874, 0.748], [0.621, 0.748, 0.000]],
  "e_tot_ev_per_atom": -21.1329,
  "formation_energy_uncorrected_ev_per_atom": -2.247
}

=====

{
  "formula": "In3Pb",
  "functional": "meta-GGA SCAN",
  "state": "PBEsol geometry",
  "cell": [[3.544, 0.000, 0.000], [0.000, 5.646, -0.188], [-1.772, -1.307, 5.348]],
  "species": ["Pb", "In", "In", "In"],
  "frac_coords": [[0.000, 0.000, 0.000], [0.500, 0.500, 0.000], [0.754, 0.258, 0.509], [0.246, 0.742, 0.491]],
  "e_tot_ev_per_atom": -43.9218
}

=====

{
  "formula": "Zn2Co2Ge",
  "functional": "meta-GGA SCAN",
  "state": "PBEsol geometry",
  "cell": [[-2.079, -2.836, -1.383], [3.666, -0.496, -4.495], [3.192, -3.814, 3.024]],
  "species": ["Ge", "Ge", "Co", "Co", "Co", "Co", "Zn", "Zn", "Zn", "Zn"],
  "frac_coords": [[0.000, 0.000, 0.000], [0.000, 0.500, 0.500], [0.000, 0.357, 0.857], [0.000, 0.857, 0.643], [0.000, 0.643, 0.143], [0.000, 0.143, 0.357], [0.500, 0.156, 0.656], [0.500, 0.656, 0.844], [0.500, 0.844, 0.344], [0.500, 0.344, 0.156]],
  "e_tot_ev_per_atom": -16.1129
}

=====

{
  "formula": "HfTlZn3",
  "functional": "meta-GGA SCAN",
  "state": "PBEsol geometry",
  "cell": [[4.856, 0.000, 0.000], [0.000, 4.856, 0.000], [0.000, 0.000, 4.856]],
  "species": ["Tl", "Hf", "Zn", "Zn", "Zn"],
  "frac_coords": [[0.000, 0.000, 0.000], [0.500, 0.500, 0.500], [0.000, 0.500, 0.000], [0.000, 0.000, 0.500], [0.500, 0.000, 0.000]],
  "e_tot_ev_per_atom": -34.0276
}

=====

{
  "formula": "LaZrP",
  "functional": "meta-GGA SCAN",
  "state": "PBEsol geometry",
  "cell": [[4.141, 0.000, 0.000], [0.000, 4.433, 0.000], [0.000, -2.217, 3.839]],
  "species": ["La", "P", "Zr"],
  "frac_coords": [[0.000, 0.000, 0.000], [0.500, 0.667, 0.333], [0.500, 0.333, 0.667]],
  "e_tot_ev_per_atom": -28.7576
}